No. 1
AlPtF2 after structural relaxation. Source: the Alexandria database, functional PBE-GGA.

Calculated values
Symmetry = No. 166
Raw total energy = -4.673 eV/atom

Unit cell a=9.6326 b=9.6326 c=9.6326 alpha=16.61 beta=16.61 gamma=16.61
Element x y z (fractional)
Al 0.0000 0.0000 0.0000
Pt 0.5000 0.5000 0.5000
F 0.3775 0.3775 0.3775
F 0.6225 0.6225 0.6225

***

No. 2
LaHo6Cd2 after structural relaxation. Source: the Alexandria database, functional PBE-GGA.

Calculated values
Symmetry = No. 160
Raw total energy = -3.424 eV/atom

Unit cell a=7.5419 b=7.5419 c=7.5419 alpha=56.10 beta=56.10 gamma=56.10
Element x y z (fractional)
La 0.0000 0.0000 0.0000
Ho 0.0593 0.0593 0.5499
Ho 0.0593 0.5499 0.0593
Ho 0.2719 0.2719 0.7184
Ho 0.2719 0.7184 0.2719
Ho 0.5499 0.0593 0.0593
Ho 0.7184 0.2719 0.2719
Cd 0.5667 0.5667 0.5667
Cd 0.7498 0.7498 0.7498

***

No. 3
NdGa2Co after structural relaxation. Source: the Alexandria database, functional PBE-GGA.

Calculated values
Symmetry = No. 65
Raw total energy = -5.007 eV/atom

Unit cell a=9.1245 b=9.1245 c=4.1267 alpha=90.00 beta=90.00 gamma=153.54
Element x y z (fractional)
Nd 0.1425 0.8575 0.0000
Nd 0.8575 0.1425 0.0000
Ga 0.0000 0.0000 0.5000
Ga 0.2927 0.7073 0.5000
Ga 0.5000 0.5000 0.0000
Ga 0.7073 0.2927 0.5000
Co 0.4283 0.5717 0.5000
Co 0.5717 0.4283 0.5000

***

No. 4
BeTlPt2 after structural relaxation. Source: the Alexandria database, functional PBE-GGA.

Calculated values
Symmetry = No. 6
Raw total energy = -4.606 eV/atom

Unit cell a=2.9784 b=4.3764 c=5.4194 alpha=90.00 beta=105.37 gamma=90.00
Element x y z (fractional)
Be 0.0000 0.0000 0.0000
Tl 0.3163 0.5000 0.6269
Pt 0.0395 0.5000 0.0897
Pt 0.6625 0.0000 0.3402

***

No. 5
PaGeF6 after structural relaxation. Source: the Alexandria database, functional PBE-GGA.

Calculated values
Symmetry = No. 163
Raw total energy = -6.290 eV/atom

Unit cell a=5.7500 b=5.7500 c=10.8220 alpha=90.00 beta=90.00 gamma=120.00
Element x y z (fractional)
Pa 0.0000 0.0000 0.0000
Pa 0.0000 0.0000 0.5000
Ge 0.3333 0.6667 0.2500
Ge 0.6667 0.3333 0.7500
F 0.0540 0.3344 0.1209
F 0.0540 0.7196 0.3791
F 0.2804 0.3344 0.3791
F 0.2804 0.9460 0.1209
F 0.3344 0.0540 0.6209
F 0.3344 0.2804 0.8791
F 0.6656 0.7196 0.1209
F 0.6656 0.9460 0.3791
F 0.7196 0.0540 0.8791
F 0.7196 0.6656 0.6209
F 0.9460 0.2804 0.6209
F 0.9460 0.6656 0.8791

***

No. 6
HfAlV2H after structural relaxation. Source: the Alexandria database, functional PBE-GGA.

Calculated values
Symmetry = No. 123
Raw total energy = -7.204 eV/atom

Unit cell a=3.8967 b=3.8967 c=4.3650 alpha=90.00 beta=90.00 gamma=90.00
Element x y z (fractional)
Hf 0.0000 0.0000 0.0000
Al 0.5000 0.5000 0.0000
V 0.0000 0.5000 0.5000
V 0.5000 0.0000 0.5000
H 0.0000 0.0000 0.5000